Record 1
Cs2YPdF6 | GGA-PBE | optimized geometry

Values from the calculation:
total magnetization = 1.0 μB per formula unit
formation energy (no corrections) = -2.821 eV/atom

Cell: 6.8478 6.8478 8.7891 Å, 90.00 90.00 90.00°
Last column: nearest neighbours and their distance in Å.
Space group I4/mmm (No. 139)
Inequivalent atoms, fractional coordinates:
Cs 0.0000 0.5000 0.2500 (multiplicity 4)  12 F 3.28-3.42
Y 0.0000 0.0000 0.0000 (multiplicity 2)  6 F 2.18-2.21
Pd 0.0000 0.0000 0.5000 (multiplicity 2)  2 F 2.19
F 0.0000 0.0000 0.2512 (multiplicity 4)  1 Pd 2.19, 1 Y 2.21
F 0.2254 0.2254 0.0000 (multiplicity 8)  1 Y 2.18



Record 2
CsYPd2F8 | GGA-PBE | optimized geometry

Values from the calculation:
total magnetization = 4.0 μB per formula unit
formation energy (no corrections) = -2.152 eV/atom

Cell: 5.9756 5.9756 8.4988 Å, 90.00 90.00 120.00°
Last column: nearest neighbours and their distance in Å.
Space group P-3 (No. 147)
Inequivalent atoms, fractional coordinates:
Cs 0.0000 0.0000 0.0000 (multiplicity 1)  12 F 3.38-3.46
Y 0.0000 0.0000 0.5000 (multiplicity 1)  6 F 2.19
Pd 0.3333 0.6667 0.7336 (multiplicity 2)  4 F 2.01-2.17
F 0.0146 0.2964 0.6582 (multiplicity 6)  1 Pd 2.17, 1 Y 2.19
F 0.3333 0.6667 0.9697 (multiplicity 2)  1 Pd 2.01



Record 3
CsZnPdF6 | GGA-PBE | optimized geometry

Values from the calculation:
total magnetization = 0.0 μB per formula unit
formation energy (no corrections) = -2.028 eV/atom

Cell: 7.3023 8.1258 10.5000 Å, 90.00 90.00 90.00°
Last column: nearest neighbours and their distance in Å.
Space group Imma (No. 74)
Inequivalent atoms, fractional coordinates:
Cs 0.0000 0.2500 0.1164 (multiplicity 4)  6 F 3.11-3.32
Zn 0.2500 0.2500 0.7500 (multiplicity 4)  6 F 1.97-2.10
Pd 0.0000 0.0000 0.5000 (multiplicity 4)  6 F 2.00-2.15
F 0.0000 0.2500 0.4327 (multiplicity 4)  2 Pd 2.15
F 0.0000 0.2500 0.8204 (multiplicity 4)  2 Zn 1.97
F 0.1989 0.0551 0.6232 (multiplicity 16)  1 Pd 2.00, 1 Zn 2.10



Record 4
Cs2ZnPdF6 | GGA-PBE | optimized geometry

Values from the calculation:
offset from the most stable computed form = 0.0 meV/atom
total magnetization = 2.0 μB per formula unit
formation energy (no corrections) = -2.166 eV/atom

Cell: 6.3168 6.3168 31.1334 Å, 90.00 90.00 120.00°
Last column: nearest neighbours and their distance in Å.
Space group R-3m (No. 166, hexagonal axes)
Inequivalent atoms, fractional coordinates:
Cs 0.0000 0.0000 0.1271 (multiplicity 6)  12 F 3.17-3.27
Cs 0.0000 0.0000 0.2870 (multiplicity 6)  12 F 3.17-3.25
Zn 0.0000 0.0000 0.0000 (multiplicity 3)  6 F 2.09
Zn 0.0000 0.0000 0.5000 (multiplicity 3)  6 F 2.08
Pd 0.0000 0.0000 0.4080 (multiplicity 6)  6 F 2.23
F 0.0168 0.5084 0.7044 (multiplicity 18)  1 Zn 2.09, 1 Pd 2.23
F 0.0391 0.5195 0.1244 (multiplicity 18)  1 Zn 2.08, 1 Pd 2.23



Copy entry 4 word for word.
Cs2ZnPdF6 | GGA-PBE | optimized geometry

Values from the calculation:
offset from the most stable computed form = 0.0 meV/atom
total magnetization = 2.0 μB per formula unit
formation energy (no corrections) = -2.166 eV/atom

Cell: 6.3168 6.3168 31.1334 Å, 90.00 90.00 120.00°
Last column: nearest neighbours and their distance in Å.
Space group R-3m (No. 166, hexagonal axes)
Inequivalent atoms, fractional coordinates:
Cs 0.0000 0.0000 0.1271 (multiplicity 6)  12 F 3.17-3.27
Cs 0.0000 0.0000 0.2870 (multiplicity 6)  12 F 3.17-3.25
Zn 0.0000 0.0000 0.0000 (multiplicity 3)  6 F 2.09
Zn 0.0000 0.0000 0.5000 (multiplicity 3)  6 F 2.08
Pd 0.0000 0.0000 0.4080 (multiplicity 6)  6 F 2.23
F 0.0168 0.5084 0.7044 (multiplicity 18)  1 Zn 2.09, 1 Pd 2.23
F 0.0391 0.5195 0.1244 (multiplicity 18)  1 Zn 2.08, 1 Pd 2.23